# 1
# PmHo9Er2 | Alexandria | PBE-GGA | relaxed
# Crystal system: hexagonal
# Energy of formation in meV/atom: 41.0
# Total DFT energy (no corrections) in eV per atom: -4.55
# Energy above the most stable polymorph in this dataset in eV/atom: 0.0184
data_PmHo9Er2
_symmetry_space_group_name_H-M 'P 6/m m m'
_symmetry_Int_Tables_number 191
_symmetry_space_group_name_Hall '-P 6 2'
_cell_length_a 11.1600
_cell_length_b 11.1600
_cell_length_c 3.4913
_cell_angle_alpha 90.00
_cell_angle_beta 90.00
_cell_angle_gamma 120.00
loop_
_atom_site_label
_atom_site_type_symbol
_atom_site_fract_x
_atom_site_fract_y
_atom_site_fract_z
Pm1 Pm 0.0000 0.0000 0.0000
Ho1 Ho 0.0000 0.5000 0.0000
Ho2 Ho 0.1781 0.3562 0.5000
Er1 Er 0.3333 0.6667 0.0000

***

# 2
# Eu3PdN | Alexandria | PBE-GGA | relaxed
# Crystal system: cubic
# Formation energy from raw total energies in kJ per mole of atoms: -60
# Total DFT energy (no corrections) in eV per atom: -9.49
data_Eu3PdN
_symmetry_space_group_name_H-M 'P m -3 m'
_symmetry_Int_Tables_number 221
_symmetry_space_group_name_Hall '-P 4 2 3'
_cell_length_a 4.975
_cell_length_b 4.975
_cell_length_c 4.975
_cell_angle_alpha 90.00
_cell_angle_beta 90.00
_cell_angle_gamma 90.00
loop_
_atom_site_label
_atom_site_type_symbol
_atom_site_fract_x
_atom_site_fract_y
_atom_site_fract_z
Eu1 Eu 0.000 0.000 0.500
Pd1 Pd 0.500 0.500 0.500
N1 N 0.000 0.000 0.000

***

# 3
# SrLa2Ir | Alexandria | PBE-GGA | relaxed
# Crystal system: orthorhombic
# Energy of formation in meV/atom: -193.6
# Total DFT energy (no corrections) in eV per atom: -5.29
# Energy above the most stable polymorph in this dataset in eV/atom: 0.2706
data_SrLa2Ir
_symmetry_space_group_name_H-M 'C m m 2'
_symmetry_Int_Tables_number 35
_cell_length_a 5.233
_cell_length_b 5.240
_cell_length_c 9.516
_cell_angle_alpha 90.00
_cell_angle_beta 90.00
_cell_angle_gamma 90.00
loop_
_symmetry_equiv_pos_as_xyz
'x,y,z'
'-x,-y,z'
'-x,y,z'
'x,-y,z'
'x+1/2,y+1/2,z'
'-x+1/2,-y+1/2,z'
'-x+1/2,y+1/2,z'
'x+1/2,-y+1/2,z'
loop_
_atom_site_label
_atom_site_type_symbol
_atom_site_fract_x
_atom_site_fract_y
_atom_site_fract_z
Sr1 Sr 0.000 0.000 0.000
La1 La 0.000 0.000 0.644
La2 La 0.000 0.500 0.340
Ir1 Ir 0.000 0.500 0.783

***

# 4
# Nd2Ho2Tm | Alexandria | PBE-GGA | relaxed
# Crystal system: monoclinic
# Energy of formation in meV/atom: 18.9
# Total DFT energy (no corrections) in eV per atom: -4.61
# Energy above the most stable polymorph in this dataset in eV/atom: 0.0000
data_Nd2Ho2Tm
_symmetry_space_group_name_H-M 'C 1 2/c 1'
_symmetry_Int_Tables_number 15
_cell_length_a 15.834
_cell_length_b 6.282
_cell_length_c 6.787
_cell_angle_alpha 90.00
_cell_angle_beta 103.91
_cell_angle_gamma 90.00
loop_
_symmetry_equiv_pos_as_xyz
'x,y,z'
'-x,-y,-z'
'-x,y,-z+1/2'
'x,-y,z+1/2'
'x+1/2,y+1/2,z'
'-x+1/2,-y+1/2,-z'
'-x+1/2,y+1/2,-z+1/2'
'x+1/2,-y+1/2,z+1/2'
loop_
_atom_site_label
_atom_site_type_symbol
_atom_site_fract_x
_atom_site_fract_y
_atom_site_fract_z
Nd1 Nd 0.101 0.082 0.445
Ho1 Ho 0.199 0.419 0.151
Tm1 Tm 0.000 0.417 0.750

***

# 5
# CaAgRh4 | Alexandria | PBE-GGA | relaxed
# Crystal system: cubic
# Energy of formation in meV/atom: -40.5
# Total DFT energy (no corrections) in eV per atom: -5.75
data_CaAgRh4
_symmetry_space_group_name_H-M 'F -4 3 m'
_symmetry_Int_Tables_number 216
_symmetry_space_group_name_Hall 'F -4 2 3'
_cell_length_a 7.448
_cell_length_b 7.448
_cell_length_c 7.448
_cell_angle_alpha 90.00
_cell_angle_beta 90.00
_cell_angle_gamma 90.00
loop_
_atom_site_label
_atom_site_type_symbol
_atom_site_fract_x
_atom_site_fract_y
_atom_site_fract_z
Ca1 Ca 0.000 0.000 0.000
Ag1 Ag 0.250 0.250 0.250
Rh1 Rh 0.125 0.125 0.625

***

# 6
# In3TeBr7 | Alexandria | PBE-GGA | relaxed
# Crystal system: monoclinic
# Formation energy from raw total energies in kJ per mole of atoms: -69
# Total DFT energy (no corrections) in eV per atom: -2.81
data_In3TeBr7
_symmetry_space_group_name_H-M 'C 1 m 1'
_symmetry_Int_Tables_number 8
_cell_length_a 13.981
_cell_length_b 8.058
_cell_length_c 9.911
_cell_angle_alpha 90.00
_cell_angle_beta 134.76
_cell_angle_gamma 90.00
loop_
_symmetry_equiv_pos_as_xyz
'x,y,z'
'x,-y,z'
'x+1/2,y+1/2,z'
'x+1/2,-y+1/2,z'
loop_
_atom_site_label
_atom_site_type_symbol
_atom_site_fract_x
_atom_site_fract_y
_atom_site_fract_z
In1 In 0.000 0.000 0.000
In2 In 0.238 0.238 0.000
Te1 Te 0.287 0.000 0.258
Br1 Br 0.006 0.241 0.200
Br2 Br 0.201 0.000 0.766
Br3 Br 0.211 0.500 0.770
Br4 Br 0.264 0.500 0.198
Br5 Br 0.462 0.261 0.766

***

# 7
# NaCaV | Alexandria | PBE-GGA | relaxed
# Crystal system: hexagonal
# Energy of formation in meV/atom: 807.7
# Total DFT energy (no corrections) in eV per atom: -3.34
# Energy above the most stable polymorph in this dataset in eV/atom: 0.5334
data_NaCaV
_symmetry_space_group_name_H-M 'P 63/m m c'
_symmetry_Int_Tables_number 194
_symmetry_space_group_name_Hall '-P 6c 2c'
_cell_length_a 5.6078
_cell_length_b 5.6078
_cell_length_c 6.5094
_cell_angle_alpha 90.00
_cell_angle_beta 90.00
_cell_angle_gamma 120.00
loop_
_atom_site_label
_atom_site_type_symbol
_atom_site_fract_x
_atom_site_fract_y
_atom_site_fract_z
Na1 Na 0.0000 0.0000 0.0000
Ca1 Ca 0.3333 0.6667 0.2500
V1 V 0.3333 0.6667 0.7500

***

# 8
# Er2Tm2Mg | Alexandria | PBE-GGA | relaxed
# Crystal system: orthorhombic
# Energy of formation in meV/atom: -8.7
# Total DFT energy (no corrections) in eV per atom: -3.94
# Energy above the most stable polymorph in this dataset in eV/atom: 0.0000
data_Er2Tm2Mg
_symmetry_space_group_name_H-M 'I m m m'
_symmetry_Int_Tables_number 71
_symmetry_space_group_name_Hall '-I 2 2'
_cell_length_a 3.495
_cell_length_b 3.506
_cell_length_c 23.654
_cell_angle_alpha 90.00
_cell_angle_beta 90.00
_cell_angle_gamma 90.00
loop_
_atom_site_label
_atom_site_type_symbol
_atom_site_fract_x
_atom_site_fract_y
_atom_site_fract_z
Er1 Er 0.000 0.000 0.095
Tm1 Tm 0.000 0.000 0.302
Mg1 Mg 0.000 0.000 0.500

***

# 9
# Sc2TiHg | Alexandria | PBE-GGA | relaxed
# Crystal system: tetragonal
# Energy of formation in meV/atom: -128.1
# Total DFT energy (no corrections) in eV per atom: -5.34
data_Sc2TiHg
_symmetry_space_group_name_H-M 'P 4/m m m'
_symmetry_Int_Tables_number 123
_symmetry_space_group_name_Hall '-P 4 2'
_cell_length_a 4.432
_cell_length_b 4.432
_cell_length_c 4.255
_cell_angle_alpha 90.00
_cell_angle_beta 90.00
_cell_angle_gamma 90.00
loop_
_atom_site_label
_atom_site_type_symbol
_atom_site_fract_x
_atom_site_fract_y
_atom_site_fract_z
Sc1 Sc 0.000 0.500 0.000
Ti1 Ti 0.000 0.000 0.500
Hg1 Hg 0.500 0.500 0.500

***

# 10
# Na2UPaTe4 | Alexandria | PBE-GGA | relaxed
# Crystal system: monoclinic
# Formation energy from raw total energies in kJ per mole of atoms: -79
# Total DFT energy (no corrections) in eV per atom: -5.32
data_Na2UPaTe4
_symmetry_space_group_name_H-M 'P 1 2/m 1'
_symmetry_Int_Tables_number 10
_cell_length_a 7.528
_cell_length_b 4.335
_cell_length_c 8.202
_cell_angle_alpha 90.00
_cell_angle_beta 107.75
_cell_angle_gamma 90.00
loop_
_symmetry_equiv_pos_as_xyz
'x,y,z'
'-x,-y,-z'
'-x,y,-z'
'x,-y,z'
loop_
_atom_site_label
_atom_site_type_symbol
_atom_site_fract_x
_atom_site_fract_y
_atom_site_fract_z
Na1 Na 0.000 0.000 0.000
Na2 Na 0.500 0.500 0.000
U1 U 0.000 0.500 0.500
Pa1 Pa 0.500 0.000 0.500
Te1 Te 0.248 0.000 0.739
Te2 Te 0.255 0.500 0.260

***

Record order is preserved below.
N(E_F): 16.41; 7.11; 6.34; 32.87; 44.98; 0.00; 7.10; 16.29; 3.50; 7.58 states/eV/cell
Record order is preserved below.
Total moment: 0.00; 4.25; 0.00; 0.00; 0.18; 0.00; 1.47; 0.00; 0.51; 0.62 μB per atom